First-principles (PBE-GGA) data for a relaxed Mn2WBr crystal, as listed in Alexandria via LeMat-Bulk.

Structure (POSCAR):
```
Mn2WBr
1.0
3.089 0.000 0.000
0.000 3.128 0.000
0.000 0.000 7.303
Mn W Br
2 1 1
Direct
0.000 0.000 0.203
0.000 0.000 0.797
0.500 0.500 0.000
0.500 0.000 0.500
```

Formation energy (no corrections) (eV/atom): 0.376
DFT total energy (eV/atom): -7.87
Symmetry: Pmmm (47)
Volume (Å³/cell): 70.6
Magnetic moment (μB/atom): 1.305
Polymorph energy (0 for the lowest one) (meV per atom): 0

First-principles (PBE-GGA) data for a relaxed Mn2WBr crystal, as listed in Alexandria via LeMat-Bulk.

Structure (POSCAR):
```
Mn2WBr
1.0
3.100 0.000 0.000
0.000 3.100 0.000
0.000 0.000 6.963
Mn W Br
2 1 1
Direct
0.000 0.000 0.000
0.500 0.500 0.220
0.000 0.000 0.392
0.500 0.500 0.738
```

Formation energy (no corrections) (eV/atom): 0.575
DFT total energy (eV/atom): -7.67
Symmetry: P4mm (99)
Volume (Å³/cell): 66.9
Magnetic moment (μB/atom): 1.146
Polymorph energy (0 for the lowest one) (meV per atom): 200

First-principles (PBE-GGA) data for a relaxed MnW2Br crystal, as listed in Alexandria via LeMat-Bulk.

Structure (POSCAR):
```
MnW2Br
1.0
-1.468 2.269 4.508
1.468 -2.269 4.508
1.468 2.269 -4.508
Mn W Br
1 2 1
Direct
0.000 0.000 0.000
0.237 0.737 0.500
0.529 0.529 0.000
0.775 0.275 0.500
```

Formation energy (no corrections) (eV/atom): 0.955
DFT total energy (eV/atom): -8.23
Symmetry: Imm2 (44)
Volume (Å³/cell): 60.1
Magnetic moment (μB/atom): 0.000
Polymorph energy (0 for the lowest one) (meV per atom): 486

First-principles (PBE-GGA) data for a relaxed MnW2Br crystal, as listed in Alexandria via LeMat-Bulk.

Structure (POSCAR):
```
MnW2Br
1.0
3.248 0.000 0.000
0.000 3.140 0.000
-0.016 0.000 7.407
Mn W Br
1 2 1
Direct
0.000 0.000 0.000
0.499 0.500 0.795
0.997 0.000 0.607
0.991 0.500 0.305
```

Formation energy (no corrections) (eV/atom): 0.469
DFT total energy (eV/atom): -8.72
Symmetry: Pm (6)
Volume (Å³/cell): 75.6
Magnetic moment (μB/atom): 0.861
Polymorph energy (0 for the lowest one) (meV per atom): 0

First-principles (PBE-GGA) data for a relaxed MnW2Br crystal, as listed in Alexandria via LeMat-Bulk.

Structure (POSCAR):
```
MnW2Br
1.0
-2.142 2.142 3.635
2.142 -2.142 3.635
2.142 2.142 -3.635
Mn W Br
1 2 1
Direct
0.000 0.000 0.000
0.250 0.750 0.500
0.500 0.500 0.000
0.750 0.250 0.500
```

Formation energy (no corrections) (eV/atom): 1.174
DFT total energy (eV/atom): -8.01
Symmetry: I-4m2 (119)
Volume (Å³/cell): 66.7
Magnetic moment (μB/atom): 0.998
Polymorph energy (0 for the lowest one) (meV per atom): 705

First-principles (PBE-GGA) data for a relaxed MnW2Br crystal, as listed in Alexandria via LeMat-Bulk.

Structure (POSCAR):
```
MnW2Br
1.0
3.060 0.000 0.000
0.000 4.507 0.000
0.000 0.000 4.807
Mn W Br
1 2 1
Direct
0.000 0.000 0.000
0.000 0.500 0.500
0.500 0.000 0.500
0.500 0.500 0.000
```

Formation energy (no corrections) (eV/atom): 1.017
DFT total energy (eV/atom): -8.17
Symmetry: Pmmm (47)
Volume (Å³/cell): 66.3
Magnetic moment (μB/atom): 0.714
Polymorph energy (0 for the lowest one) (meV per atom): 548

First-principles (PBE-GGA) data for a relaxed Mn2WBr crystal, as listed in Alexandria via LeMat-Bulk.

Structure (POSCAR):
```
Mn2WBr
1.0
1.599 0.923 7.877
-1.599 0.923 7.877
0.000 -1.847 7.877
Mn W Br
2 1 1
Direct
0.000 0.000 0.000
0.250 0.250 0.250
0.523 0.523 0.523
0.752 0.752 0.752
```

Formation energy (no corrections) (eV/atom): 0.575
DFT total energy (eV/atom): -7.67
Symmetry: R3m (160)
Volume (Å³/cell): 69.8
Magnetic moment (μB/atom): 1.180
Polymorph energy (0 for the lowest one) (meV per atom): 199

First-principles (PBE-GGA) data for a relaxed Mn2WBr crystal, as listed in Alexandria via LeMat-Bulk.

Structure (POSCAR):
```
Mn2WBr
1.0
1.584 -2.477 0.000
1.584 2.477 0.000
0.000 0.000 8.463
Mn W Br
2 1 1
Direct
0.000 0.000 0.000
0.500 0.500 0.235
0.000 0.000 0.444
0.500 0.500 0.751
```

Formation energy (no corrections) (eV/atom): 0.702
DFT total energy (eV/atom): -7.54
Symmetry: Cmm2 (35)
Volume (Å³/cell): 66.4
Magnetic moment (μB/atom): 1.252
Polymorph energy (0 for the lowest one) (meV per atom): 326